# 1
This record from the Alexandria database describes a PBEsol-optimized structure of KBi2SbPt. The functional is SCAN.

Volume, Å³/atom: 32.3
Space-group type: P4/mmm (123)
Formation energy without anion corrections, eV per atom: 0.05
Calculated density, g/cm3: 7.95
Crystal system: tetragonal
Magnetic moment, μB per cell: 0.00

a b c (Å): 5.560 5.560 5.231
angles (deg): 90.00 90.00 90.00
Sites, in units of the cell vectors:
K: 0.000 0.000 0.000
Bi: 0.000 0.500 0.500
Bi: 0.500 0.000 0.500
Sb: 0.500 0.500 0.000
Pt: 0.500 0.500 0.500



# 2
This record from the Alexandria database describes a PBEsol-optimized structure of CeEr3S6. The functional is SCAN.

Volume, Å³/atom: 22.2
Space-group type: P2_1/m (11)
Formation energy without anion corrections, eV per atom: -2.37
Calculated density, g/cm3: 6.25
Crystal system: monoclinic
Magnetic moment, μB per cell: 1.95

a b c (Å): 10.840 3.885 11.115
angles (deg): 90.00 108.78 90.00
Sites, in units of the cell vectors:
Ce: 0.049 0.250 0.195
Ce: 0.951 0.750 0.805
Er: 0.159 0.250 0.585
Er: 0.321 0.750 0.000
Er: 0.440 0.250 0.333
Er: 0.560 0.750 0.667
Er: 0.679 0.250 0.000
Er: 0.841 0.750 0.415
S: 0.084 0.750 0.405
S: 0.119 0.250 0.964
S: 0.194 0.750 0.751
S: 0.263 0.750 0.228
S: 0.393 0.250 0.558
S: 0.482 0.250 0.114
S: 0.518 0.750 0.886
S: 0.607 0.750 0.442
S: 0.737 0.250 0.772
S: 0.806 0.250 0.249
S: 0.881 0.750 0.036
S: 0.916 0.250 0.595



# 3
This record from the Alexandria database describes a PBEsol-optimized structure of ScCu2F. The functional is SCAN.

Volume, Å³/atom: 14.2
Space-group type: Fm-3m (225)
Formation energy without anion corrections, eV per atom: -0.25
Calculated density, g/cm3: 5.59
Crystal system: cubic
Magnetic moment, μB per cell: 0.00

a b c (Å): 4.312 4.312 4.312
angles (deg): 60.00 60.00 60.00
Sites, in units of the cell vectors:
Sc: 0.000 0.000 0.000
Cu: 0.250 0.250 0.250
Cu: 0.750 0.750 0.750
F: 0.500 0.500 0.500



# 4
This record from the Alexandria database describes a PBEsol-optimized structure of Mg16Al13. The functional is SCAN.

Volume, Å³/atom: 19.6
Space-group type: R3m (160)
ΔE to the lowest computed polymorph, meV/atom: 6
Calculated density, g/cm3: 2.16
Crystal system: trigonal
Magnetic moment, μB per cell: 0.00

a b c (Å): 8.990 8.990 8.990
angles (deg): 109.01 109.01 109.01
Sites, in units of the cell vectors:
Mg: 0.000 0.000 0.000
Mg: 0.003 0.404 0.684
Mg: 0.003 0.684 0.404
Mg: 0.004 0.004 0.654
Mg: 0.004 0.654 0.004
Mg: 0.295 0.595 0.595
Mg: 0.319 0.319 0.716
Mg: 0.319 0.716 0.319
Mg: 0.404 0.003 0.684
Mg: 0.404 0.684 0.003
Mg: 0.595 0.295 0.595
Mg: 0.595 0.595 0.295
Mg: 0.654 0.004 0.004
Mg: 0.684 0.003 0.404
Mg: 0.684 0.404 0.003
Mg: 0.716 0.319 0.319
Al: 0.001 0.186 0.369
Al: 0.001 0.369 0.186
Al: 0.186 0.001 0.369
Al: 0.186 0.369 0.001
Al: 0.190 0.816 0.816
Al: 0.318 0.318 0.318
Al: 0.369 0.001 0.186
Al: 0.369 0.186 0.001
Al: 0.642 0.642 0.830
Al: 0.642 0.830 0.642
Al: 0.816 0.190 0.816
Al: 0.816 0.816 0.190
Al: 0.830 0.642 0.642



# 5
This record from the Alexandria database describes a PBEsol-optimized structure of BaEr2S4. The functional is SCAN.

Volume, Å³/atom: 24.4
Space-group type: Pnma (62)
Formation energy without anion corrections, eV per atom: -2.44
Calculated density, g/cm3: 5.83
Crystal system: orthorhombic
Magnetic moment, μB per cell: 0.00

a b c (Å): 12.061 3.968 14.278
angles (deg): 90.00 90.00 90.00
Sites, in units of the cell vectors:
Ba: 0.242 0.250 0.162
Ba: 0.258 0.750 0.662
Ba: 0.742 0.250 0.338
Ba: 0.758 0.750 0.838
Er: 0.068 0.250 0.392
Er: 0.078 0.250 0.898
Er: 0.422 0.750 0.398
Er: 0.432 0.750 0.892
Er: 0.568 0.250 0.108
Er: 0.578 0.250 0.602
Er: 0.922 0.750 0.102
Er: 0.932 0.750 0.608
S: 0.022 0.750 0.783
S: 0.081 0.250 0.578
S: 0.125 0.750 0.023
S: 0.208 0.750 0.338
S: 0.292 0.250 0.838
S: 0.375 0.250 0.523
S: 0.419 0.750 0.078
S: 0.478 0.250 0.283
S: 0.522 0.750 0.717
S: 0.581 0.250 0.922
S: 0.625 0.750 0.477
S: 0.708 0.750 0.162
S: 0.792 0.250 0.662
S: 0.875 0.250 0.977
S: 0.919 0.750 0.422
S: 0.978 0.250 0.217



# 6
This record from the Alexandria database describes a PBEsol-optimized structure of Li2CuAg. The functional is SCAN.

Volume, Å³/atom: 13.9
Space-group type: P4/mmm (123)
Calculated density, g/cm3: 5.54
Crystal system: tetragonal
Raw total energy, Ry/atom: -0.9476
Magnetic moment, μB per cell: 0.00

a b c (Å): 2.727 2.727 7.475
angles (deg): 90.00 90.00 90.00
Sites, in units of the cell vectors:
Li: 0.000 0.000 0.235
Li: 0.000 0.000 0.765
Cu: 0.500 0.500 0.000
Ag: 0.500 0.500 0.500



# 7
This record from the Alexandria database describes a PBEsol-optimized structure of Sr4MoRu. The functional is SCAN.

Volume, Å³/atom: 30.1
Space-group type: F-43m (216)
Calculated density, g/cm3: 5.04
Crystal system: cubic
Raw total energy, Ry/atom: -1.8245
Magnetic moment, μB per cell: 5.57

a b c (Å): 6.342 6.342 6.342
angles (deg): 60.00 60.00 60.00
Sites, in units of the cell vectors:
Sr: 0.376 0.376 0.376
Sr: 0.376 0.376 0.873
Sr: 0.376 0.873 0.376
Sr: 0.873 0.376 0.376
Mo: 0.000 0.000 0.000
Ru: 0.750 0.750 0.750



# 8
This record from the Alexandria database describes a PBEsol-optimized structure of TlTcPS2. The functional is SCAN.

Volume, Å³/atom: 20.1
Space-group type: P4/mmm (123)
Formation energy without anion corrections, eV per atom: 0.16
Calculated density, g/cm3: 6.56
Crystal system: tetragonal
Magnetic moment, μB per cell: 0.00

a b c (Å): 4.668 4.668 4.618
angles (deg): 90.00 90.00 90.00
Sites, in units of the cell vectors:
Tl: 0.000 0.000 0.000
Tc: 0.500 0.500 0.500
P: 0.500 0.500 0.000
S: 0.000 0.500 0.500
S: 0.500 0.000 0.500



# 9
This record from the Alexandria database describes a PBEsol-optimized structure of CaAg3P3O13. The functional is SCAN.

Volume, Å³/atom: 12.7
Space-group type: P2_1/m (11)
Formation energy without anion corrections, eV per atom: -1.69
Calculated density, g/cm3: 4.36
Crystal system: monoclinic
Magnetic moment, μB per cell: 0.00

a b c (Å): 7.496 6.467 10.620
angles (deg): 90.00 100.26 90.00
Sites, in units of the cell vectors:
Ca: 0.201 0.250 0.189
Ca: 0.799 0.750 0.811
Ag: 0.223 0.250 0.751
Ag: 0.239 0.750 0.409
Ag: 0.500 0.000 0.000
Ag: 0.500 0.500 0.000
Ag: 0.761 0.250 0.591
Ag: 0.777 0.750 0.249
P: 0.175 0.750 0.093
P: 0.262 0.250 0.491
P: 0.296 0.750 0.725
P: 0.704 0.250 0.275
P: 0.738 0.750 0.509
P: 0.825 0.250 0.907
O: 0.020 0.750 0.983
O: 0.098 0.250 0.566
O: 0.102 0.750 0.223
O: 0.175 0.566 0.751
O: 0.175 0.934 0.751
O: 0.241 0.068 0.392
O: 0.241 0.432 0.392
O: 0.298 0.555 0.100
O: 0.298 0.945 0.100
O: 0.355 0.250 0.931
O: 0.356 0.750 0.592
O: 0.428 0.250 0.596
O: 0.481 0.750 0.813
O: 0.519 0.250 0.187
O: 0.572 0.750 0.404
O: 0.644 0.250 0.408
O: 0.645 0.750 0.069
O: 0.702 0.055 0.900
O: 0.702 0.445 0.900
O: 0.759 0.568 0.608
O: 0.759 0.932 0.608
O: 0.825 0.066 0.249
O: 0.825 0.434 0.249
O: 0.898 0.250 0.777
O: 0.902 0.750 0.434
O: 0.980 0.250 0.017



# 10
This record from the Alexandria database describes a PBEsol-optimized structure of MgGa2. The functional is SCAN.

Volume, Å³/atom: 18.3
Space-group type: C2/m (12)
Calculated density, g/cm3: 4.95
Crystal system: monoclinic
Raw total energy, Ry/atom: -0.9305
Magnetic moment, μB per cell: 0.00

a b c (Å): 5.145 5.145 7.774
angles (deg): 112.40 112.40 35.66
Sites, in units of the cell vectors:
Mg: 0.003 0.003 0.244
Mg: 0.997 0.997 0.756
Ga: 0.320 0.320 0.909
Ga: 0.332 0.332 0.417
Ga: 0.668 0.668 0.583
Ga: 0.680 0.680 0.091



# 11
This record from the Alexandria database describes a PBEsol-optimized structure of AlMoBr2. The functional is SCAN.

Volume, Å³/atom: 21.2
Space-group type: Cmmm (65)
Formation energy without anion corrections, eV per atom: 0.42
ΔE to the lowest computed polymorph, meV/atom: 337
Calculated density, g/cm3: 5.55
Crystal system: orthorhombic
Magnetic moment, μB per cell: 1.48

a b c (Å): 3.272 3.272 9.525
angles (deg): 90.00 90.00 123.93
Sites, in units of the cell vectors:
Al: 0.000 0.000 0.000
Mo: 0.000 0.000 0.500
Br: 0.500 0.500 0.285
Br: 0.500 0.500 0.715



# 12
This record from the Alexandria database describes a PBEsol-optimized structure of Ti17N6O24. The functional is SCAN.

Volume, Å³/atom: 11.4
Space-group type: Pmmn (59)
Formation energy without anion corrections, eV per atom: -2.94
Calculated density, g/cm3: 3.96
Crystal system: orthorhombic
Magnetic moment, μB per cell: 0.00

a b c (Å): 9.905 11.378 9.549
angles (deg): 90.00 90.00 90.00
Sites, in units of the cell vectors:
Ti: 0.057 0.250 0.114
Ti: 0.070 0.750 0.614
Ti: 0.072 0.083 0.612
Ti: 0.072 0.417 0.612
Ti: 0.076 0.588 0.107
Ti: 0.076 0.912 0.107
Ti: 0.250 0.087 0.950
Ti: 0.250 0.250 0.450
Ti: 0.250 0.413 0.950
Ti: 0.250 0.585 0.447
Ti: 0.250 0.915 0.447
Ti: 0.424 0.588 0.107
Ti: 0.424 0.912 0.107
Ti: 0.428 0.083 0.612
Ti: 0.428 0.417 0.612
Ti: 0.430 0.750 0.614
Ti: 0.443 0.250 0.114
Ti: 0.557 0.750 0.886
Ti: 0.570 0.250 0.386
Ti: 0.572 0.583 0.388
Ti: 0.572 0.917 0.388
Ti: 0.576 0.088 0.893
Ti: 0.576 0.412 0.893
Ti: 0.750 0.085 0.553
Ti: 0.750 0.415 0.553
Ti: 0.750 0.587 0.050
Ti: 0.750 0.750 0.550
Ti: 0.750 0.913 0.050
Ti: 0.924 0.088 0.893
Ti: 0.924 0.412 0.893
Ti: 0.928 0.583 0.388
Ti: 0.928 0.917 0.388
Ti: 0.930 0.250 0.386
Ti: 0.943 0.750 0.886
N: 0.250 0.082 0.519
N: 0.250 0.250 0.024
N: 0.250 0.418 0.519
N: 0.250 0.569 0.031
N: 0.250 0.750 0.516
N: 0.250 0.931 0.031
N: 0.750 0.069 0.969
N: 0.750 0.250 0.484
N: 0.750 0.431 0.969
N: 0.750 0.582 0.481
N: 0.750 0.750 0.976
N: 0.750 0.918 0.481
O: 0.052 0.750 0.075
O: 0.061 0.085 0.060
O: 0.061 0.415 0.060
O: 0.063 0.584 0.562
O: 0.063 0.916 0.562
O: 0.066 0.250 0.568
O: 0.111 0.750 0.794
O: 0.119 0.583 0.299
O: 0.119 0.917 0.299
O: 0.120 0.080 0.798
O: 0.120 0.420 0.798
O: 0.122 0.250 0.301
O: 0.378 0.250 0.301
O: 0.380 0.080 0.798
O: 0.380 0.420 0.798
O: 0.381 0.583 0.299
O: 0.381 0.917 0.299
O: 0.389 0.750 0.794
O: 0.434 0.250 0.568
O: 0.437 0.584 0.562
O: 0.437 0.916 0.562
O: 0.439 0.085 0.060
O: 0.439 0.415 0.060
O: 0.448 0.750 0.075
O: 0.552 0.250 0.925
O: 0.561 0.585 0.940
O: 0.561 0.915 0.940
O: 0.563 0.084 0.438
O: 0.563 0.416 0.438
O: 0.566 0.750 0.432
O: 0.611 0.250 0.206
O: 0.619 0.083 0.701
O: 0.619 0.417 0.701
O: 0.620 0.580 0.202
O: 0.620 0.920 0.202
O: 0.622 0.750 0.699
O: 0.878 0.750 0.699
O: 0.880 0.580 0.202
O: 0.880 0.920 0.202
O: 0.881 0.083 0.701
O: 0.881 0.417 0.701
O: 0.889 0.250 0.206
O: 0.934 0.750 0.432
O: 0.937 0.084 0.438
O: 0.937 0.416 0.438
O: 0.939 0.585 0.940
O: 0.939 0.915 0.940
O: 0.948 0.250 0.925